The following is a DFT calculation (PBE) of an optimized crystal structure of MgTa2Br.

Cell: 4.9993 4.9993 3.0040 Å, 90.00 90.00 90.00°
Fractional coordinates of all 4 atoms:
Ta1 0.5000 0.5000 0.0000
Br1 0.5000 0.0000 0.5000
Ta2 0.0000 0.0000 0.0000
Mg1 0.0000 0.5000 0.5000

Calculated values
Total moment, μB/cell: 0.0
Calculated density, g/cm3: 10.31
Final energy, eV per atom: -5.89
E_form (uncorrected), eV/atom: 0.856

=====

The following is a DFT calculation (PBE) of an optimized crystal structure of MgTaBr2.

Cell: 4.7863 4.7863 4.7863 Å, 60.00 60.00 60.00°
Fractional coordinates of all 4 atoms:
Br1 0.2500 0.2500 0.2500
Br2 0.7500 0.7500 0.7500
Ta1 0.5000 0.5000 0.5000
Mg1 0.0000 0.0000 0.0000

Calculated values
Total moment, μB/cell: 0.0
Calculated density, g/cm3: 7.82
Final energy, eV per atom: -3.75
E_form (uncorrected), eV/atom: 0.447

=====

The following is a DFT calculation (PBE) of an optimized crystal structure of MgTaBr2.

Cell: 6.6798 6.6798 6.6798 Å, 146.31 146.31 48.39°
Each line ends with the local moment (μB).
Fractional coordinates of all 4 atoms:
Br1 0.0000 0.0000 0.0000  0.03
Br2 0.2500 0.7500 0.5000  0.02
Ta1 0.7500 0.2500 0.5000  1.04
Mg1 0.5000 0.5000 0.0000  -0.02

Calculated values
Total moment, μB/cell: 1.5
Calculated density, g/cm3: 6.64
Final energy, eV per atom: -3.66
E_form (uncorrected), eV/atom: 0.539

=====

Repeat the first record exactly.
The following is a DFT calculation (PBE) of an optimized crystal structure of MgTa2Br.

Cell: 4.9993 4.9993 3.0040 Å, 90.00 90.00 90.00°
Fractional coordinates of all 4 atoms:
Ta1 0.5000 0.5000 0.0000
Br1 0.5000 0.0000 0.5000
Ta2 0.0000 0.0000 0.0000
Mg1 0.0000 0.5000 0.5000

Calculated values
Total moment, μB/cell: 0.0
Calculated density, g/cm3: 10.31
Final energy, eV per atom: -5.89
E_form (uncorrected), eV/atom: 0.856